# 1
# Pm2HoLu

Crystalline Pm2HoLu at its relaxed geometry (PBE-GGA, Alexandria).

Values from the calculation:
Energy relative to the elements: 0.02 eV/atom
Symmetry: No. 123
Energy above the lowest structure with this stoichiometry: 5 meV per atom
Density of states at the Fermi level: 5.88 states/eV/cell

Unit cell a=3.584 b=3.584 c=10.018 alpha=90.00 beta=90.00 gamma=90.00
Atoms (fractional coordinates):
Lu  0.500  0.500  0.000
Ho  0.500  0.500  0.500
Pm  0.000  0.000  0.752
Pm  0.000  0.000  0.248

***

# 2
# Ta2ReMo

Crystalline Ta2ReMo at its relaxed geometry (PBE-GGA, Alexandria).

Values from the calculation:
Energy relative to the elements: 0.15 eV/atom
Symmetry: No. 166
Energy above the lowest structure with this stoichiometry: 495 meV per atom
Density of states at the Fermi level: 3.90 states/eV/cell

Unit cell a=8.712 b=8.712 c=8.712 alpha=20.11 beta=20.11 gamma=20.11
Atoms (fractional coordinates):
Mo  0.250  0.250  0.250
Re  0.750  0.750  0.750
Ta  0.000  0.000  0.000
Ta  0.500  0.500  0.500

***

# 3
# NiIr4W

Crystalline NiIr4W at its relaxed geometry (PBE-GGA, Alexandria).

Values from the calculation:
Energy relative to the elements: 0.41 eV/atom
Symmetry: No. 216
Density of states at the Fermi level: 8.87 states/eV/cell

Unit cell a=5.087 b=5.087 c=5.087 alpha=60.00 beta=60.00 gamma=60.00
Atoms (fractional coordinates):
Ni  0.750  0.750  0.750
Ir  0.874  0.375  0.375
Ir  0.375  0.375  0.874
Ir  0.375  0.874  0.375
Ir  0.375  0.375  0.375
W  0.000  0.000  0.000